Entry 1:
This record from Alexandria via LeMat-Bulk describes crystalline PuInPt at its relaxed geometry. The functional is GGA-PBE.

Structure (extended XYZ):
```
12
Lattice="3.824 0.000 0.000 0.000 14.488 0.000 0.000 0.000 4.685" Properties=species:S:1:pos:R:3 pbc="T T T"
Pu 0.000 0.851 1.171
Pu 0.000 13.637 3.514
Pu 1.912 6.393 3.514
Pu 1.912 8.095 1.171
In 0.000 3.697 3.514
In 0.000 10.791 1.171
In 1.912 3.547 1.171
In 1.912 10.941 3.514
Pt 0.000 5.610 1.171
Pt 0.000 8.878 3.514
Pt 1.912 1.634 3.514
Pt 1.912 12.854 1.171
```

Computed properties:
Its formation energy is -0.46 eV/atom. The space group is Cmcm.

***

Entry 2:
This record from Alexandria via LeMat-Bulk describes crystalline Pu11In9Pt4 at its relaxed geometry. The functional is GGA-PBE.

Structure (extended XYZ):
```
24
Lattice="7.355 -10.944 0.000 7.355 10.944 0.000 0.000 0.000 3.705" Properties=species:S:1:pos:R:3 pbc="T T T"
Pu 0.000 0.000 0.000
Pu 3.497 3.862 0.000
Pu 7.355 7.609 0.000
Pu 4.585 0.000 0.000
Pu 7.355 2.783 0.000
Pu 3.497 -3.862 0.000
Pu 11.213 3.862 0.000
Pu 7.355 -2.783 0.000
Pu 10.125 0.000 0.000
Pu 7.355 -7.609 0.000
Pu 11.213 -3.862 0.000
In 2.181 1.541 1.853
In 5.872 5.209 1.853
In 2.181 -1.541 1.853
In 8.838 5.209 1.853
In 7.355 0.000 1.853
In 5.872 -5.209 1.853
In 12.529 1.541 1.853
In 8.838 -5.209 1.853
In 12.529 -1.541 1.853
Pt 5.117 2.236 1.853
Pt 5.117 -2.236 1.853
Pt 9.593 2.236 1.853
Pt 9.593 -2.236 1.853
```

Computed properties:
Its formation energy is -0.41 eV/atom. The space group is Cmmm.

***

Entry 3:
This record from Alexandria via LeMat-Bulk describes crystalline Pu3InPt2 at its relaxed geometry. The functional is GGA-PBE.

Structure (extended XYZ):
```
6
Lattice="3.797 0.000 0.000 0.000 3.797 0.000 0.000 0.000 9.492" Properties=species:S:1:pos:R:3 pbc="T T T"
Pu 0.000 0.000 0.000
Pu 0.000 0.000 2.952
Pu 0.000 0.000 6.540
In 1.898 1.898 4.746
Pt 1.898 1.898 1.521
Pt 1.898 1.898 7.971
```

Computed properties:
Its formation energy is -0.53 eV/atom. The space group is P4/mmm.

***

Entry 4:
This record from Alexandria via LeMat-Bulk describes crystalline PuIn3Pt2 at its relaxed geometry. The functional is GGA-PBE.

Structure (extended XYZ):
```
18
Lattice="9.269 -2.086 0.000 9.269 2.086 0.000 -3.729 0.000 10.610" Properties=species:S:1:pos:R:3 pbc="T T T"
Pu 0.000 0.000 0.000
Pu 0.407 0.000 7.409
Pu 14.403 0.000 3.202
In -0.662 0.000 3.514
In 2.466 0.000 4.212
In 5.859 0.000 0.361
In 3.927 0.000 8.481
In 7.405 0.000 5.305
In 10.883 0.000 2.129
In 8.951 0.000 10.249
In 12.344 0.000 6.398
In 15.472 0.000 7.097
Pt 3.421 0.000 1.614
Pt 4.764 0.000 5.639
Pt 8.152 0.000 1.768
Pt 6.657 0.000 8.842
Pt 10.046 0.000 4.971
Pt 11.389 0.000 8.996
```

Computed properties:
Its formation energy is -0.45 eV/atom. The space group is C2/m.

***

Entry 5:
This record from Alexandria via LeMat-Bulk describes crystalline PuInPt2 at its relaxed geometry. The functional is GGA-PBE.

Structure (extended XYZ):
```
4
Lattice="3.396 0.000 0.000 0.000 3.396 0.000 0.000 0.000 6.929" Properties=species:S:1:pos:R:3 pbc="T T T"
Pu 0.000 0.000 0.000
In 0.000 0.000 3.464
Pt 1.698 1.698 1.898
Pt 1.698 1.698 5.030
```

Computed properties:
Its formation energy is -0.56 eV/atom. The space group is P4/mmm.

***

Entry 6:
This record from Alexandria via LeMat-Bulk describes crystalline PuIn3Pt12 at its relaxed geometry. The functional is GGA-PBE.

Structure (extended XYZ):
```
16
Lattice="4.077 0.000 0.000 0.000 4.077 0.000 0.000 0.000 16.276" Properties=species:S:1:pos:R:3 pbc="T T T"
Pu 0.000 0.000 0.000
In 0.000 0.000 4.149
In 0.000 0.000 8.138
In 0.000 0.000 12.126
Pt 0.000 2.038 2.083
Pt 0.000 2.038 6.136
Pt 0.000 2.038 10.139
Pt 0.000 2.038 14.193
Pt 2.038 0.000 2.083
Pt 2.038 0.000 6.136
Pt 2.038 0.000 10.139
Pt 2.038 0.000 14.193
Pt 2.038 2.038 0.000
Pt 2.038 2.038 4.122
Pt 2.038 2.038 8.138
Pt 2.038 2.038 12.154
```

Computed properties:
Its formation energy is -0.46 eV/atom. The space group is P4/mmm.

***

Entry 7:
This record from Alexandria via LeMat-Bulk describes crystalline PuInPt at its relaxed geometry. The functional is GGA-PBE.

Structure (extended XYZ):
```
6
Lattice="3.345 0.000 0.000 0.000 3.345 0.000 0.000 0.000 11.808" Properties=species:S:1:pos:R:3 pbc="T T T"
Pu 0.000 0.000 0.000
Pu 1.673 1.673 5.904
In 0.000 0.000 3.495
In 1.673 1.673 9.400
Pt 0.000 0.000 7.777
Pt 1.673 1.673 1.873
```

Computed properties:
Its formation energy is -0.48 eV/atom. The space group is I4mm.

***

Entry 8:
This record from Alexandria via LeMat-Bulk describes crystalline Pu3In4Pt4 at its relaxed geometry. The functional is GGA-PBE.

Structure (extended XYZ):
```
11
Lattice="-1.945 4.067 7.776 1.945 -4.067 7.776 1.945 4.067 -7.776" Properties=species:S:1:pos:R:3 pbc="T T T"
Pu 0.000 0.000 0.000
Pu 1.945 0.000 6.187
Pu 0.000 4.067 1.589
In 1.945 1.573 -2.651
In 1.945 1.573 2.651
In 0.000 2.494 5.126
In 0.000 2.494 10.427
Pt 0.000 0.000 3.821
Pt 1.945 2.282 0.000
Pt 0.000 1.785 7.776
Pt 0.000 0.000 11.732
```

Computed properties:
Its formation energy is -0.62 eV/atom. The space group is Immm.

***

Entry 9:
This record from Alexandria via LeMat-Bulk describes crystalline PuInPt2 at its relaxed geometry. The functional is GGA-PBE.

Structure (extended XYZ):
```
4
Lattice="5.132 0.000 0.000 0.000 5.132 0.000 0.000 0.000 3.007" Properties=species:S:1:pos:R:3 pbc="T T T"
Pu 0.000 0.000 0.000
In 2.566 2.566 0.000
Pt 0.000 2.566 1.503
Pt 2.566 0.000 1.503
```

Computed properties:
Its formation energy is -0.54 eV/atom. The space group is P4/mmm.

***

Entry 10:
This record from Alexandria via LeMat-Bulk describes crystalline Pu2In5Pt3 at its relaxed geometry. The functional is GGA-PBE.

Structure (extended XYZ):
```
20
Lattice="2.242 -13.409 0.000 2.242 13.409 0.000 0.000 0.000 7.412" Properties=species:S:1:pos:R:3 pbc="T T T"
Pu 2.242 12.781 3.706
Pu 2.242 4.677 2.951
Pu 2.242 -4.677 6.657
Pu 2.242 -12.781 0.000
In 2.242 10.762 0.854
In 2.242 7.843 1.412
In 2.242 7.835 4.441
In 2.242 3.357 7.117
In 2.242 1.423 2.438
In 2.242 -1.423 6.145
In 2.242 -3.357 3.411
In 2.242 -7.835 0.735
In 2.242 -7.843 5.118
In 2.242 -10.762 4.560
Pt 2.242 10.434 5.397
Pt 2.242 6.146 6.625
Pt 2.242 1.186 5.288
Pt 2.242 -1.186 1.582
Pt 2.242 -6.146 2.919
Pt 2.242 -10.434 1.691
```

Computed properties:
Its formation energy is -0.54 eV/atom. The space group is Cmc2_1.

***

Entry 11:
This record from Alexandria via LeMat-Bulk describes crystalline Pu2InPt2 at its relaxed geometry. The functional is GGA-PBE.

Structure (extended XYZ):
```
10
Lattice="7.709 0.000 0.000 0.000 7.709 0.000 0.000 0.000 3.799" Properties=species:S:1:pos:R:3 pbc="T T T"
Pu 1.308 2.547 0.000
Pu 2.547 6.402 0.000
Pu 5.162 1.308 0.000
Pu 6.402 5.162 0.000
In 0.000 0.000 1.899
In 3.855 3.855 1.899
Pt 1.026 4.880 1.899
Pt 2.829 1.026 1.899
Pt 4.880 6.684 1.899
Pt 6.684 2.829 1.899
```

Computed properties:
Its formation energy is -0.73 eV/atom. The space group is P4/mbm.

***

Entry 12:
This record from Alexandria via LeMat-Bulk describes crystalline PuInPtRh at its relaxed geometry. The functional is GGA-PBE.

Structure (extended XYZ):
```
16
Lattice="6.774 0.000 0.000 0.000 6.774 0.000 0.000 0.000 6.774" Properties=species:S:1:pos:R:3 pbc="T T T"
Pu 0.000 0.000 0.000
Pu 0.000 3.387 3.387
Pu 3.387 0.000 3.387
Pu 3.387 3.387 0.000
In 0.000 0.000 3.387
In 0.000 3.387 0.000
In 3.387 0.000 0.000
In 3.387 3.387 3.387
Pt 1.693 1.693 5.080
Pt 1.693 5.080 1.693
Pt 5.080 1.693 1.693
Pt 5.080 5.080 5.080
Rh 1.693 1.693 1.693
Rh 1.693 5.080 5.080
Rh 5.080 1.693 5.080
Rh 5.080 5.080 1.693
```

Computed properties:
Its formation energy is -0.53 eV/atom. The space group is F-43m.

***

Entry 13:
This record from Alexandria via LeMat-Bulk describes crystalline Pu2InSiPt6 at its relaxed geometry. The functional is GGA-PBE.

Structure (extended XYZ):
```
10
Lattice="0.000 4.790 4.790 4.790 0.000 4.790 4.790 4.790 0.000" Properties=species:S:1:pos:R:3 pbc="T T T"
Pu 2.395 2.395 2.395
Pu 7.184 7.184 7.184
In 0.000 0.000 0.000
Si 4.790 4.790 4.790
Pt 4.790 4.790 2.543
Pt 4.790 2.543 4.790
Pt 7.037 4.790 4.790
Pt 2.543 4.790 4.790
Pt 4.790 7.037 4.790
Pt 4.790 4.790 7.037
```

Computed properties:
The calculation puts the energy relative to the elements, uncorrected at -0.161 eV per atom. The space group is Fm-3m.

***

Entry 14:
This record from Alexandria via LeMat-Bulk describes crystalline TbPuInPt at its relaxed geometry. The functional is GGA-PBE.

Structure (extended XYZ):
```
16
Lattice="7.294 0.000 0.000 0.000 7.294 0.000 0.000 0.000 7.294" Properties=species:S:1:pos:R:3 pbc="T T T"
Tb 0.000 0.000 0.000
Tb 0.000 3.647 3.647
Tb 3.647 0.000 3.647
Tb 3.647 3.647 0.000
Pu 0.000 0.000 3.647
Pu 0.000 3.647 0.000
Pu 3.647 0.000 0.000
Pu 3.647 3.647 3.647
In 1.823 1.823 5.470
In 1.823 5.470 1.823
In 5.470 1.823 1.823
In 5.470 5.470 5.470
Pt 1.823 1.823 1.823
Pt 1.823 5.470 5.470
Pt 5.470 1.823 5.470
Pt 5.470 5.470 1.823
```

Computed properties:
Its formation energy is -0.50 eV/atom. The space group is F-43m.

***

Entry 15:
This record from Alexandria via LeMat-Bulk describes crystalline PuZnInPt at its relaxed geometry. The functional is GGA-PBE.

Structure (extended XYZ):
```
16
Lattice="6.872 0.000 0.000 0.000 6.872 0.000 0.000 0.000 6.872" Properties=species:S:1:pos:R:3 pbc="T T T"
Pu 0.000 0.000 0.000
Pu 0.000 3.436 3.436
Pu 3.436 0.000 3.436
Pu 3.436 3.436 0.000
Zn 1.718 1.718 1.718
Zn 1.718 5.154 5.154
Zn 5.154 1.718 5.154
Zn 5.154 5.154 1.718
In 0.000 0.000 3.436
In 0.000 3.436 0.000
In 3.436 0.000 0.000
In 3.436 3.436 3.436
Pt 1.718 1.718 5.154
Pt 1.718 5.154 1.718
Pt 5.154 1.718 1.718
Pt 5.154 5.154 5.154
```

Computed properties:
Its formation energy is -0.41 eV/atom. The space group is F-43m.

***

Entry 16:
This record from Alexandria via LeMat-Bulk describes crystalline PuZnInPt2 at its relaxed geometry. The functional is GGA-PBE.

Structure (extended XYZ):
```
10
Lattice="6.764 -2.219 0.000 6.764 2.219 0.000 -3.363 0.000 6.980" Properties=species:S:1:pos:R:3 pbc="T T T"
Pu 2.583 0.000 1.331
Pu 7.583 0.000 5.649
Zn 3.039 0.000 4.784
Zn 7.126 0.000 2.196
In -1.781 0.000 5.045
In 11.946 0.000 1.935
Pt 0.645 0.000 3.616
Pt 5.325 0.000 0.247
Pt 4.841 0.000 6.733
Pt 9.520 0.000 3.364
```

Computed properties:
Its formation energy is -0.57 eV/atom. The space group is C2/m.

***

Entry 17:
This record from Alexandria via LeMat-Bulk describes crystalline RbInPt at its relaxed geometry. The functional is GGA-PBE.

Structure (extended XYZ):
```
12
Lattice="4.953 0.000 0.000 0.000 6.026 0.000 0.000 0.000 11.804" Properties=species:S:1:pos:R:3 pbc="T T T"
Rb 0.000 1.501 0.000
Rb 0.000 4.525 0.000
Rb 2.477 1.512 5.902
Rb 2.477 4.514 5.902
In 0.000 0.000 3.365
In 0.000 0.000 8.438
In 2.477 3.013 2.537
In 2.477 3.013 9.267
Pt 0.000 3.013 3.524
Pt 0.000 3.013 8.280
Pt 2.477 0.000 2.378
Pt 2.477 0.000 9.426
```

Computed properties:
As for the energy above the most stable polymorph in this dataset: 212.6 meV per atom. Its formation energy is -0.07 eV/atom. The space group is Immm.

***

Entry 18:
This record from Alexandria via LeMat-Bulk describes crystalline Rb2In3Pt2 at its relaxed geometry. The functional is GGA-PBE.

Structure (extended XYZ):
```
14
Lattice="12.993 0.000 0.000 0.000 4.484 0.000 -4.757 0.000 7.084" Properties=species:S:1:pos:R:3 pbc="T T T"
Rb 0.554 0.000 1.973
Rb 1.185 2.242 5.110
Rb 7.050 2.242 1.973
Rb 7.682 0.000 5.110
In -2.379 2.242 3.542
In -2.477 2.242 6.660
In 4.216 0.000 0.424
In 4.118 0.000 3.542
In 4.019 0.000 6.660
In 10.713 2.242 0.424
Pt -1.893 0.000 5.057
Pt 3.633 2.242 2.027
Pt 4.603 2.242 5.057
Pt 10.129 0.000 2.027
```

Computed properties:
Its formation energy is -0.33 eV/atom. The space group is C2/m.

***

Entry 19:
This record from Alexandria via LeMat-Bulk describes crystalline Rb2InPt2 at its relaxed geometry. The functional is GGA-PBE.

Structure (extended XYZ):
```
15
Lattice="4.717 0.000 0.000 -2.359 4.085 0.000 0.000 0.000 31.683" Properties=species:S:1:pos:R:3 pbc="T T T"
Rb 0.000 0.000 2.368
Rb 0.000 0.000 29.314
Rb 0.000 2.723 18.754
Rb 0.000 2.723 23.490
Rb 2.359 1.362 8.193
Rb 2.359 1.362 12.929
In 0.000 0.000 15.841
In 0.000 2.723 5.280
In 2.359 1.362 26.402
Pt 0.000 0.000 5.572
Pt 0.000 0.000 26.111
Pt 0.000 2.723 15.550
Pt 0.000 2.723 26.694
Pt 2.359 1.362 4.989
Pt 2.359 1.362 16.133
```

Computed properties:
As for the energy above the most stable polymorph in this dataset: 0.0 meV per atom. Its formation energy is -0.27 eV/atom. The space group is R-3m.

***

Entry 20:
This record from Alexandria via LeMat-Bulk describes crystalline Rb3InPt at its relaxed geometry. The functional is GGA-PBE.

Structure (extended XYZ):
```
5
Lattice="6.443 0.000 0.000 0.000 6.443 0.000 0.000 0.000 6.443" Properties=species:S:1:pos:R:3 pbc="T T T"
Rb 0.000 0.000 3.221
Rb 0.000 3.221 0.000
Rb 3.221 0.000 0.000
In 3.221 3.221 3.221
Pt 0.000 0.000 0.000
```

Computed properties:
As for the energy above the most stable polymorph in this dataset: 0.0 meV per atom. Its formation energy is 0.24 eV/atom. The space group is Pm-3m.

***

Total moment list, top to bottom, in μB/cell: 21.29, 60.70, 16.86, 16.65, 5.11, 3.79, 11.05, 5.26, 5.41, 21.46, 20.84, 18.89, 10.48, 21.61, 20.62, 10.43, 0.00, 0.00, 0.00, 1.99
Uncorrected energy list, top to bottom, in Ha/atom: -0.30016, -0.33119, -0.37359, -0.22850, -0.28844, -0.23515, -0.30062, -0.28366, -0.28751, -0.24206, -0.34649, -0.29931, -0.27446, -0.27309, -0.23892, -0.24450, -0.12201, -0.12873, -0.13302, -0.07694